# Ba2LiNdTe4

An optimized crystal structure of Ba2LiNdTe4 (PBE, Alexandria via LeMat-Bulk).

The structure in CIF format:
```
data_Ba2LiNdTe4
_chemical_formula_sum 'Ba2 Li1 Nd1 Te4'
_space_group_name_H-M_alt 'P 1 2/m 1'
_space_group_IT_number 10
_space_group_name_Hall '-P 2y'
_cell_length_a 8.1767
_cell_length_b 4.7495
_cell_length_c 8.1895
_cell_angle_alpha 90.00
_cell_angle_beta 109.10
_cell_angle_gamma 90.00
loop_
_atom_site_label
_atom_site_fract_x
_atom_site_fract_y
_atom_site_fract_z
_atom_site_occupancy
Ba1 0.0000 0.0000 0.0000 1
Ba2 0.5000 0.5000 0.0000 1
Li1 0.0000 0.5000 0.5000 1
Nd1 0.5000 0.0000 0.5000 1
Te1 0.2427 0.0000 0.7194 1
Te2 0.2591 0.5000 0.2802 1
```

## Properties
* crystal system: monoclinic
* E_form (uncorrected): -1.485 eV/atom
* calculated total energy: -4.37 eV per atom

***

# Ba4LiNd3Te8

An optimized crystal structure of Ba4LiNd3Te8 (PBE, Alexandria via LeMat-Bulk).

The structure in CIF format:
```
data_Ba4LiNd3Te8
_chemical_formula_sum 'Ba12 Li3 Nd9 Te24'
_space_group_name_H-M_alt 'R -3 m'
_space_group_IT_number 166
_space_group_name_Hall '-R 3 2"'
_cell_length_a 9.3894
_cell_length_b 9.3894
_cell_length_c 23.4460
_cell_angle_alpha 90.00
_cell_angle_beta 90.00
_cell_angle_gamma 120.00
loop_
_atom_site_label
_atom_site_fract_x
_atom_site_fract_y
_atom_site_fract_z
_atom_site_occupancy
Ba1 0.0000 0.0000 0.0000 1
Ba2 0.0000 0.5000 0.0000 1
Li1 0.0000 0.0000 0.5000 1
Nd1 0.0000 0.5000 0.5000 1
Te1 0.0000 0.0000 0.2415 1
Te2 0.0019 0.5009 0.2401 1
```

## Properties
* crystal system: trigonal
* E_form (uncorrected): -1.548 eV/atom
* calculated total energy: -4.61 eV per atom

***

# BaLi2Nd2Tl2

An optimized crystal structure of BaLi2Nd2Tl2 (PBE, Alexandria via LeMat-Bulk).

The structure in CIF format:
```
data_BaLi2Nd2Tl2
_chemical_formula_sum 'Ba3 Li6 Nd6 Tl6'
_space_group_name_H-M_alt 'R -3 m'
_space_group_IT_number 166
_space_group_name_Hall '-R 3 2"'
_cell_length_a 5.0747
_cell_length_b 5.0747
_cell_length_c 29.6167
_cell_angle_alpha 90.00
_cell_angle_beta 90.00
_cell_angle_gamma 120.00
loop_
_atom_site_label
_atom_site_fract_x
_atom_site_fract_y
_atom_site_fract_z
_atom_site_occupancy
Ba1 0.0000 0.0000 0.0000 1
Li1 0.0000 0.0000 0.4155 1
Nd1 0.0000 0.0000 0.1304 1
Tl1 0.0000 0.0000 0.2494 1
```

## Properties
* crystal system: trigonal
* formation energy from the elements: -0.21 eV per atom
* calculated total energy: -3.07 eV per atom